# 1
A geometry-optimized Ho6Tm16Th7 structure. Source: Alexandria, functional PBE.

abc: 11.1491 11.1491 11.1491
angles: 60.00 60.00 60.00
Last column: nearest neighbours and their distance in Å.
Element x y z (fractional)
Tm: 0.9601 0.3466 0.3466  3 Th 3.24, 3 Tm 3.47
Tm: 0.8706 0.8706 0.3881  4 Th 3.38-3.53, 3 Tm 3.47, 3 Ho 3.49
Tm: 0.3466 0.9601 0.3466  3 Th 3.24, 3 Tm 3.47
Tm: 0.3466 0.3466 0.3466  3 Th 3.24, 3 Tm 3.47
Tm: 0.1294 0.1294 0.1294  4 Th 3.38-3.53, 3 Tm 3.47, 3 Ho 3.49
Tm: 0.6534 0.0399 0.6534  3 Th 3.24, 3 Tm 3.47
Tm: 0.1294 0.1294 0.6119  4 Th 3.38-3.53, 3 Tm 3.47, 3 Ho 3.49
Tm: 0.6534 0.6534 0.0399  3 Th 3.24, 3 Tm 3.47
Tm: 0.3466 0.3466 0.9601  3 Th 3.24, 3 Tm 3.47
Tm: 0.6119 0.1294 0.1294  4 Th 3.38-3.53, 3 Tm 3.47, 3 Ho 3.49
Tm: 0.6534 0.6534 0.6534  3 Th 3.24, 3 Tm 3.47
Tm: 0.0399 0.6534 0.6534  3 Th 3.24, 3 Tm 3.47
Tm: 0.8706 0.3881 0.8706  4 Th 3.38-3.53, 3 Tm 3.47, 3 Ho 3.49
Tm: 0.3881 0.8706 0.8706  4 Th 3.38-3.53, 3 Tm 3.47, 3 Ho 3.49
Tm: 0.1294 0.6119 0.1294  4 Th 3.38-3.53, 3 Tm 3.47, 3 Ho 3.49
Tm: 0.8706 0.8706 0.8706  4 Th 3.38-3.53, 3 Tm 3.47, 3 Ho 3.49
Th: 0.0000 0.0000 0.0000  8 Tm 3.53
Th: 0.5000 0.0000 0.0000  8 Tm 3.24-3.38
Th: 0.5000 0.0000 0.5000  8 Tm 3.24-3.38
Th: 0.0000 0.5000 0.5000  8 Tm 3.24-3.38
Th: 0.0000 0.0000 0.5000  8 Tm 3.24-3.38
Th: 0.5000 0.5000 0.0000  8 Tm 3.24-3.38
Th: 0.0000 0.5000 0.0000  8 Tm 3.24-3.38
Ho: 0.7466 0.2534 0.7466  8 Tm 3.49-3.72
Ho: 0.2534 0.2534 0.7466  8 Tm 3.49-3.72
Ho: 0.7466 0.7466 0.2534  8 Tm 3.49-3.72
Ho: 0.7466 0.2534 0.2534  8 Tm 3.49-3.72
Ho: 0.2534 0.7466 0.7466  8 Tm 3.49-3.72
Ho: 0.2534 0.7466 0.2534  8 Tm 3.49-3.72

=====

# 2
A geometry-optimized CaZrRh2 structure. Source: Alexandria, functional PBE.

abc: 7.7488 7.7488 7.7488
angles: 26.88 26.88 26.88
Last column: nearest neighbours and their distance in Å.
Element x y z (fractional)
Rh: 0.9905 0.9905 0.9905  3 Zr 2.66, 3 Ca 2.94
Rh: 0.5095 0.5095 0.5095  3 Zr 2.66, 3 Ca 2.94
Zr: 0.2500 0.2500 0.2500  6 Rh 2.66
Ca: 0.7500 0.7500 0.7500  6 Rh 2.94

=====

# 3
A geometry-optimized BaNaBi2 structure. Source: Alexandria, functional PBE.

abc: 5.7117 5.7117 11.1821
angles: 75.20 75.20 90.00
Last column: nearest neighbours and their distance in Å.
Element x y z (fractional)
Bi: 0.2410 0.6250 0.2500  2 Na 3.07, 2 Bi 3.24
Bi: 0.8750 0.7590 0.7500  2 Na 3.07, 2 Bi 3.24
Bi: 0.5090 0.1250 0.2500  2 Na 3.07, 2 Bi 3.24
Bi: 0.3750 0.4910 0.7500  2 Na 3.07, 2 Bi 3.24
Ba: 0.7500 0.2500 0.5000  4 Bi 3.63, 4 Na 4.04
Ba: 0.0000 0.0000 0.0000  4 Bi 3.63, 4 Na 4.04
Na: 0.2500 0.7500 0.5000  4 Bi 3.07
Na: 0.5000 0.5000 0.0000  4 Bi 3.07

=====

# 4
A geometry-optimized PPb structure. Source: Alexandria, functional PBE.

abc: 11.5787 11.5787 4.2023
angles: 90.00 90.00 90.00
Last column: nearest neighbours and their distance in Å.
Element x y z (fractional)
P: 0.2352 0.3260 0.5000  4 Pb 2.77-2.79
P: 0.6740 0.2352 0.5000  4 Pb 2.77-2.79
P: 0.5837 0.9590 0.0000  1 P 2.16
P: 0.3260 0.7648 0.5000  4 Pb 2.77-2.79
P: 0.4163 0.0410 0.0000  1 P 2.16
P: 0.7648 0.6740 0.5000  4 Pb 2.77-2.79
P: 0.0410 0.5837 0.0000  1 P 2.16
P: 0.9590 0.4163 0.0000  1 P 2.16
Pb: 0.1120 0.2314 0.0000  3 P 2.77-2.78
Pb: 0.8880 0.7686 0.0000  3 P 2.77-2.78
Pb: 0.7686 0.1120 0.0000  3 P 2.77-2.78
Pb: 0.4374 0.1944 0.5000  4 P 2.76-2.79
Pb: 0.5626 0.8056 0.5000  4 P 2.76-2.79
Pb: 0.1944 0.5626 0.5000  4 P 2.76-2.79
Pb: 0.8056 0.4374 0.5000  4 P 2.76-2.79
Pb: 0.2314 0.8880 0.0000  3 P 2.77-2.78

=====

| no. | N(E_F) (states/eV/f.u.) | E (eV/f.u.) |
| --- | --- | --- |
| 1 | 51.27 | -142.97 |
| 2 | 2.83 | -26.63 |
| 3 | 0.79 | -12.51 |
| 4 | 1.04 | -8.80 |